! Ti3FeRh4 | Alexandria | PBE | optimized geometry; values from VASP
! **Space group**: R-3m, No. 166
&SYSTEM
  ibrav = 0, nat = 8, ntyp = 3
/
ATOMIC_SPECIES
Ti 47.87 Ti.upf
Fe 55.84 Fe.upf
Rh 102.91 Rh.upf
CELL_PARAMETERS angstrom
2.169 1.252 7.153
-2.169 1.252 7.153
0.000 -2.504 7.153
ATOMIC_POSITIONS crystal
Ti 0.000 0.000 0.000
Ti 0.240 0.240 0.240
Ti 0.760 0.760 0.760
Fe 0.500 0.500 0.500
Rh 0.117 0.117 0.117
Rh 0.371 0.371 0.371
Rh 0.629 0.629 0.629
Rh 0.883 0.883 0.883

=====

! Ti3Fe2Rh | Alexandria | PBE | optimized geometry; values from VASP
! **Space group**: P4/mmm, No. 123
&SYSTEM
  ibrav = 0, nat = 6, ntyp = 3
/
ATOMIC_SPECIES
Ti 47.87 Ti.upf
Fe 55.84 Fe.upf
Rh 102.91 Rh.upf
CELL_PARAMETERS angstrom
3.008 0.000 0.000
0.000 3.008 0.000
0.000 0.000 9.040
ATOMIC_POSITIONS crystal
Ti 0.000 0.000 0.000
Ti 0.000 0.000 0.320
Ti 0.000 0.000 0.680
Fe 0.500 0.500 0.164
Fe 0.500 0.500 0.836
Rh 0.500 0.500 0.500

=====

! Ti2FeRh2 | Alexandria | PBE | optimized geometry; values from VASP
! **Space group**: P4/mbm, No. 127
&SYSTEM
  ibrav = 0, nat = 10, ntyp = 3
/
ATOMIC_SPECIES
Ti 47.87 Ti.upf
Fe 55.84 Fe.upf
Rh 102.91 Rh.upf
CELL_PARAMETERS angstrom
7.122 0.000 0.000
0.000 7.122 0.000
0.000 0.000 2.947
ATOMIC_POSITIONS crystal
Ti 0.168 0.332 0.000
Ti 0.332 0.832 0.000
Ti 0.668 0.168 0.000
Ti 0.832 0.668 0.000
Fe 0.000 0.000 0.500
Fe 0.500 0.500 0.500
Rh 0.136 0.636 0.500
Rh 0.364 0.136 0.500
Rh 0.636 0.864 0.500
Rh 0.864 0.364 0.500

=====

no.,total energy (eV for the cell shown)
1,-66.5
2,-51.1
3,-80.2